# TmCoNiGe2

An optimized crystal structure of TmCoNiGe2 (GGA-PBE, OQMD via LeMat-Bulk).

a = 5.739 Å, b = 5.739 Å, c = 5.739 Å
α = 139.46°, β = 139.46°, γ = 58.68°
Element x y z (fractional)
Tm (0.000, 0.000, 0.000)
Co (0.750, 0.250, 0.500)
Ni (0.250, 0.750, 0.500)
Ge (0.374, 0.374, 0.000)
Ge (0.626, 0.626, 0.000)

Summary:
* space group: No. 119
* total magnetization: 1.07 μB/f.u.
* total DFT energy (no corrections): -5.897 eV per atom